# Na2Li2Tl2Pb, relaxed, DFT GGA-PBE
# Energy of formation from the pure elements, eV/atom: -0.16
# DOS(E_F), states/eV per atom: 0.2917
data_Na2Li2Tl2Pb
_chemical_formula_sum 'Na4 Li4 Tl4 Pb2'
_cell_length_a 8.900
_cell_length_b 5.174
_cell_length_c 8.155
_cell_angle_alpha 90.00
_cell_angle_beta 111.94
_cell_angle_gamma 90.00
_space_group_name_H-M_alt 'C 1 2/m 1'
_space_group_IT_number 12
loop_
_space_group_symop_operation_xyz
'x,y,z'
'-x,-y,-z'
'-x,y,-z'
'x,-y,z'
'x+1/2,y+1/2,z'
'-x+1/2,-y+1/2,-z'
'-x+1/2,y+1/2,-z'
'x+1/2,-y+1/2,z'
loop_
_atom_site_label
_atom_site_type_symbol
_atom_site_fract_x
_atom_site_fract_y
_atom_site_fract_z
_atom_site_occupancy
Na1 Na 0.078 0.000 0.236 1
Li1 Li 0.211 0.000 0.631 1
Tl1 Tl 0.145 0.500 0.936 1
Pb1 Pb 0.000 0.500 0.500 1

# NaLiTlPb, relaxed, DFT GGA-PBE
# Relative energy among the computed polymorphs, meV per atom: 49
# Energy of formation from the pure elements, eV/atom: -0.14
# DOS(E_F), states/eV per atom: 0.8928
data_NaLiTlPb
_chemical_formula_sum 'Na4 Li4 Tl4 Pb4'
_cell_length_a 7.374
_cell_length_b 7.374
_cell_length_c 7.374
_cell_angle_alpha 90.00
_cell_angle_beta 90.00
_cell_angle_gamma 90.00
_space_group_name_H-M_alt 'F -4 3 m'
_space_group_IT_number 216
_space_group_name_Hall 'F -4 2 3'
loop_
_atom_site_label
_atom_site_type_symbol
_atom_site_fract_x
_atom_site_fract_y
_atom_site_fract_z
_atom_site_occupancy
Na1 Na 0.000 0.000 0.000 1
Li1 Li 0.000 0.000 0.500 1
Tl1 Tl 0.250 0.250 0.750 1
Pb1 Pb 0.250 0.250 0.250 1

# NaLiTl3Pb, relaxed, DFT GGA-PBE
# Energy of formation from the pure elements, eV/atom: -0.11
# DOS(E_F), states/eV per atom: 0.4329
data_NaLiTl3Pb
_chemical_formula_sum 'Na4 Li4 Tl12 Pb4'
_cell_length_a 4.810
_cell_length_b 14.896
_cell_length_c 9.231
_cell_angle_alpha 90.00
_cell_angle_beta 90.00
_cell_angle_gamma 90.00
_space_group_name_H-M_alt 'C m c m'
_space_group_IT_number 63
_space_group_name_Hall '-C 2c 2'
loop_
_atom_site_label
_atom_site_type_symbol
_atom_site_fract_x
_atom_site_fract_y
_atom_site_fract_z
_atom_site_occupancy
Na1 Na 0.000 0.172 0.250 1
Li1 Li 0.000 0.492 0.250 1
Tl1 Tl 0.000 0.165 0.750 1
Tl2 Tl 0.000 0.346 0.505 1
Pb1 Pb 0.000 0.000 0.000 1

# NaLi2VPb, relaxed, DFT GGA-PBE
# Energy of formation from the pure elements, eV/atom: 0.51
# DOS(E_F), states/eV per atom: 0.6366
data_NaLi2VPb
_chemical_formula_sum 'Na1 Li2 V1 Pb1'
_cell_length_a 5.204
_cell_length_b 5.204
_cell_length_c 5.351
_cell_angle_alpha 90.00
_cell_angle_beta 90.00
_cell_angle_gamma 90.00
_space_group_name_H-M_alt 'P 4/m m m'
_space_group_IT_number 123
_space_group_name_Hall '-P 4 2'
loop_
_atom_site_label
_atom_site_type_symbol
_atom_site_fract_x
_atom_site_fract_y
_atom_site_fract_z
_atom_site_occupancy
Na1 Na 0.000 0.000 0.000 1
Li1 Li 0.000 0.500 0.500 1
V1 V 0.500 0.500 0.500 1
Pb1 Pb 0.500 0.500 0.000 1

# NaLiYPb, relaxed, DFT GGA-PBE
# Energy of formation from the pure elements, eV/atom: -0.19
# DOS(E_F), states/eV per atom: 0.7036
data_NaLiYPb
_chemical_formula_sum 'Na4 Li4 Y4 Pb4'
_cell_length_a 7.459
_cell_length_b 7.459
_cell_length_c 7.459
_cell_angle_alpha 90.00
_cell_angle_beta 90.00
_cell_angle_gamma 90.00
_space_group_name_H-M_alt 'F -4 3 m'
_space_group_IT_number 216
_space_group_name_Hall 'F -4 2 3'
loop_
_atom_site_label
_atom_site_type_symbol
_atom_site_fract_x
_atom_site_fract_y
_atom_site_fract_z
_atom_site_occupancy
Na1 Na 0.000 0.000 0.000 1
Li1 Li 0.250 0.250 0.250 1
Y1 Y 0.000 0.000 0.500 1
Pb1 Pb 0.250 0.250 0.750 1

# Na2LiZnPb, relaxed, DFT GGA-PBE
# Energy of formation from the pure elements, eV/atom: 0.23
# DOS(E_F), states/eV per atom: 0.4845
data_Na2LiZnPb
_chemical_formula_sum 'Na2 Li1 Zn1 Pb1'
_cell_length_a 5.281
_cell_length_b 5.281
_cell_length_c 5.045
_cell_angle_alpha 90.00
_cell_angle_beta 90.00
_cell_angle_gamma 90.00
_space_group_name_H-M_alt 'P 4/m m m'
_space_group_IT_number 123
_space_group_name_Hall '-P 4 2'
loop_
_atom_site_label
_atom_site_type_symbol
_atom_site_fract_x
_atom_site_fract_y
_atom_site_fract_z
_atom_site_occupancy
Na1 Na 0.000 0.500 0.000 1
Li1 Li 0.000 0.000 0.000 1
Zn1 Zn 0.500 0.500 0.500 1
Pb1 Pb 0.000 0.000 0.500 1

# NaLiZnPb, relaxed, DFT GGA-PBE
# Energy of formation from the pure elements, eV/atom: -0.12
# DOS(E_F), states/eV per atom: 0.2775
data_NaLiZnPb
_chemical_formula_sum 'Na4 Li4 Zn4 Pb4'
_cell_length_a 6.989
_cell_length_b 6.989
_cell_length_c 6.989
_cell_angle_alpha 90.00
_cell_angle_beta 90.00
_cell_angle_gamma 90.00
_space_group_name_H-M_alt 'F -4 3 m'
_space_group_IT_number 216
_space_group_name_Hall 'F -4 2 3'
loop_
_atom_site_label
_atom_site_type_symbol
_atom_site_fract_x
_atom_site_fract_y
_atom_site_fract_z
_atom_site_occupancy
Na1 Na 0.000 0.000 0.000 1
Li1 Li 0.250 0.250 0.750 1
Zn1 Zn 0.250 0.250 0.250 1
Pb1 Pb 0.000 0.000 0.500 1

# NaLi3Pd, relaxed, DFT GGA-PBE
# Relative energy among the computed polymorphs, meV per atom: 0
# Energy of formation from the pure elements, eV/atom: -0.09
# DOS(E_F), states/eV per atom: 0.2655
data_NaLi3Pd
_chemical_formula_sum 'Na1 Li3 Pd1'
_cell_length_a 4.873
_cell_length_b 4.873
_cell_length_c 4.873
_cell_angle_alpha 90.00
_cell_angle_beta 90.00
_cell_angle_gamma 90.00
_space_group_name_H-M_alt 'P m -3 m'
_space_group_IT_number 221
_space_group_name_Hall '-P 4 2 3'
loop_
_atom_site_label
_atom_site_type_symbol
_atom_site_fract_x
_atom_site_fract_y
_atom_site_fract_z
_atom_site_occupancy
Na1 Na 0.000 0.000 0.000 1
Li1 Li 0.000 0.500 0.500 1
Pd1 Pd 0.500 0.500 0.500 1

# NaLi2Pd, relaxed, DFT GGA-PBE
# Relative energy among the computed polymorphs, meV per atom: 24
# Energy of formation from the pure elements, eV/atom: -0.18
# DOS(E_F), states/eV per atom: 0.4235
data_NaLi2Pd
_chemical_formula_sum 'Na4 Li8 Pd4'
_cell_length_a 6.509
_cell_length_b 6.509
_cell_length_c 6.509
_cell_angle_alpha 90.00
_cell_angle_beta 90.00
_cell_angle_gamma 90.00
_space_group_name_H-M_alt 'F m -3 m'
_space_group_IT_number 225
_space_group_name_Hall '-F 4 2 3'
loop_
_atom_site_label
_atom_site_type_symbol
_atom_site_fract_x
_atom_site_fract_y
_atom_site_fract_z
_atom_site_occupancy
Na1 Na 0.000 0.000 0.000 1
Li1 Li 0.250 0.250 0.250 1
Pd1 Pd 0.000 0.000 0.500 1

# NaLiPd2, relaxed, DFT GGA-PBE
# Relative energy among the computed polymorphs, meV per atom: 3
# Energy of formation from the pure elements, eV/atom: -0.23
# DOS(E_F), states/eV per atom: 0.2191
data_NaLiPd2
_chemical_formula_sum 'Na1 Li1 Pd2'
_cell_length_a 2.818
_cell_length_b 2.818
_cell_length_c 8.065
_cell_angle_alpha 90.00
_cell_angle_beta 90.00
_cell_angle_gamma 90.00
_space_group_name_H-M_alt 'P 4/m m m'
_space_group_IT_number 123
_space_group_name_Hall '-P 4 2'
loop_
_atom_site_label
_atom_site_type_symbol
_atom_site_fract_x
_atom_site_fract_y
_atom_site_fract_z
_atom_site_occupancy
Na1 Na 0.000 0.000 0.000 1
Li1 Li 0.000 0.000 0.500 1
Pd1 Pd 0.500 0.500 0.283 1

# NaLi14Pd, relaxed, DFT GGA-PBE
# Energy of formation from the pure elements, eV/atom: -0.03
# DOS(E_F), states/eV per atom: 0.5842
data_NaLi14Pd
_chemical_formula_sum 'Na2 Li28 Pd2'
_cell_length_a 8.632
_cell_length_b 8.640
_cell_length_c 8.289
_cell_angle_alpha 90.00
_cell_angle_beta 90.00
_cell_angle_gamma 90.00
_space_group_name_H-M_alt 'C m m m'
_space_group_IT_number 65
_space_group_name_Hall '-C 2 2'
loop_
_atom_site_label
_atom_site_type_symbol
_atom_site_fract_x
_atom_site_fract_y
_atom_site_fract_z
_atom_site_occupancy
Na1 Na 0.000 0.000 0.000 1
Li1 Li 0.000 0.000 0.500 1
Li2 Li 0.000 0.270 0.238 1
Li3 Li 0.000 0.500 0.500 1
Li4 Li 0.230 0.500 0.238 1
Li5 Li 0.250 0.250 0.000 1
Li6 Li 0.250 0.250 0.500 1
Pd1 Pd 0.000 0.500 0.000 1

# NaLiPd2, relaxed, DFT GGA-PBE
# Relative energy among the computed polymorphs, meV per atom: 58
# Energy of formation from the pure elements, eV/atom: -0.17
# DOS(E_F), states/eV per atom: 0.3556
data_NaLiPd2
_chemical_formula_sum 'Na1 Li1 Pd2'
_cell_length_a 3.969
_cell_length_b 3.969
_cell_length_c 4.158
_cell_angle_alpha 90.00
_cell_angle_beta 90.00
_cell_angle_gamma 90.00
_space_group_name_H-M_alt 'P 4/m m m'
_space_group_IT_number 123
_space_group_name_Hall '-P 4 2'
loop_
_atom_site_label
_atom_site_type_symbol
_atom_site_fract_x
_atom_site_fract_y
_atom_site_fract_z
_atom_site_occupancy
Na1 Na 0.000 0.000 0.000 1
Li1 Li 0.500 0.500 0.000 1
Pd1 Pd 0.000 0.500 0.500 1

# Na2Li2Pd, relaxed, DFT GGA-PBE
# Relative energy among the computed polymorphs, meV per atom: 0
# Energy of formation from the pure elements, eV/atom: -0.04
# DOS(E_F), states/eV per atom: 0.2016
data_Na2Li2Pd
_chemical_formula_sum 'Na4 Li4 Pd2'
_cell_length_a 6.633
_cell_length_b 6.633
_cell_length_c 4.986
_cell_angle_alpha 90.00
_cell_angle_beta 90.00
_cell_angle_gamma 90.00
_space_group_name_H-M_alt 'P 4/m b m'
_space_group_IT_number 127
_space_group_name_Hall '-P 4 2ab'
loop_
_atom_site_label
_atom_site_type_symbol
_atom_site_fract_x
_atom_site_fract_y
_atom_site_fract_z
_atom_site_occupancy
Na1 Na 0.188 0.312 0.000 1
Li1 Li 0.152 0.652 0.500 1
Pd1 Pd 0.000 0.000 0.500 1

# NaLi8Pd2, relaxed, DFT GGA-PBE
# Energy of formation from the pure elements, eV/atom: -0.12
# DOS(E_F), states/eV per atom: 0.3768
data_NaLi8Pd2
_chemical_formula_sum 'Na2 Li16 Pd4'
_cell_length_a 7.835
_cell_length_b 11.498
_cell_length_c 5.023
_cell_angle_alpha 90.00
_cell_angle_beta 107.32
_cell_angle_gamma 90.00
_space_group_name_H-M_alt 'C 1 2/m 1'
_space_group_IT_number 12
loop_
_space_group_symop_operation_xyz
'x,y,z'
'-x,-y,-z'
'-x,y,-z'
'x,-y,z'
'x+1/2,y+1/2,z'
'-x+1/2,-y+1/2,-z'
'-x+1/2,y+1/2,-z'
'x+1/2,-y+1/2,z'
loop_
_atom_site_label
_atom_site_type_symbol
_atom_site_fract_x
_atom_site_fract_y
_atom_site_fract_z
_atom_site_occupancy
Na1 Na 0.000 0.000 0.000 1
Li1 Li 0.000 0.261 0.000 1
Li2 Li 0.090 0.500 0.791 1
Li3 Li 0.204 0.134 0.591 1
Pd1 Pd 0.000 0.313 0.500 1